No. 1
# KTbCoTe3

KTbCoTe3 after structural relaxation (PBE, the Open Quantum Materials Database).

**Calculated total energy**: -54.8 eV per cell

Cell and atoms, written as extended XYZ:
```
12
Lattice="-3.637 -1.502 -9.063 3.130 -2.747 -0.801 -4.111 -6.595 6.555" Properties=species:S:1:pos:R:3 pbc="T T T"
Co -0.891 -5.417 -1.743
Co -3.728 -5.428 -1.566
K -2.772 -3.322 -5.051
K -1.847 -7.522 1.742
Tb -0.434 -1.882 -0.851
Tb -4.185 -8.962 -2.457
Te 0.274 -3.651 -3.247
Te -1.891 -4.685 -8.163
Te -2.275 -4.254 0.088
Te -2.344 -6.591 -3.397
Te -2.728 -6.160 4.855
Te -4.893 -7.194 -0.061
```

=====

No. 2
# KTbCoTe3

KTbCoTe3 after structural relaxation (PBE, the Open Quantum Materials Database).

**Calculated total energy**: -107.7 eV per cell

Cell and atoms, written as extended XYZ:
```
24
Lattice="-8.970 -7.239 4.214 3.010 -3.093 1.094 1.246 5.485 12.076" Properties=species:S:1:pos:R:3 pbc="T T T"
Co -5.716 -5.067 5.930
Co -1.124 -0.974 4.867
Co -3.590 -3.872 12.516
Co 1.002 0.221 11.453
K -3.842 -7.236 3.701
K 1.263 -0.887 7.603
K -5.977 -3.958 9.781
K -0.872 2.390 13.683
Tb 2.269 -1.512 3.069
Tb -2.036 -4.342 6.914
Tb -2.678 -0.504 10.470
Tb -6.984 -3.334 14.315
Te -7.186 -6.898 4.796
Te -3.958 -3.848 4.539
Te -0.034 -3.245 4.508
Te -4.410 -6.384 7.673
Te 0.746 0.735 4.554
Te -2.234 -1.224 7.214
Te -2.480 -3.622 10.170
Te -5.460 -5.581 12.830
Te -0.304 1.538 9.711
Te -4.680 -1.601 12.876
Te -0.756 -0.998 12.844
Te 2.472 2.053 12.588
```